The following is a DFT calculation (GGA+U) of Cs3PmV2O8 after structural relaxation.

a b c (Å): 6.2562 6.2562 8.4816
angles (deg): 90.00 90.00 120.00
Closest atoms and distances in Å follow each position.
Element x y z (fractional)
Cs: 0.6667 0.3333 0.2732  7 O 2.94-3.18
Cs: 0.0000 0.0000 0.0000  12 O 3.47-3.67
Cs: 0.3333 0.6667 0.7268  7 O 2.94-3.18
O: 0.8214 0.1786 0.6600  1 V 1.77
O: 0.6429 0.8214 0.3400  1 V 1.77
O: 0.1786 0.3571 0.3400  1 V 1.77
O: 0.1786 0.8214 0.3400  1 V 1.77
O: 0.3571 0.1786 0.6600  1 V 1.77
O: 0.3333 0.6667 0.0737  1 V 1.69
O: 0.6667 0.3333 0.9263  1 V 1.69
O: 0.8214 0.6429 0.6600  1 V 1.77
V: 0.3333 0.6667 0.2732  4 O 1.69-1.77
V: 0.6667 0.3333 0.7268  4 O 1.69-1.77
Pm: 0.0000 0.0000 0.5000  6 O 2.36

DOS(E_F) = 0.0 states/eV/f.u.
E_tot = -6.72 eV per atom
magnetization = 0.00 μB/atom
calculated volume = 287.5 Å³/cell
space-group type = No. 164